DFT (PBE) results for a geometry-optimized Cu2MoOs structure.

Output
spin magnetization	0.000	μB/f.u.
calculated volume	13.79	A^3/atom
energy of formation	0.25	eV per atom

The structure in extended XYZ format:
```
4
Lattice="3.111 0.000 0.000 0.000 3.111 0.000 0.000 0.000 5.700" Properties=species:S:1:pos:R:3 pbc="T T T"
Cu 0.000 0.000 0.000
Cu 1.555 1.555 1.150
Mo 0.000 0.000 2.757
Os 1.555 1.555 4.137
```